Entry 1:
DFT (PBE-GGA) results for crystalline Ba2ZrMo at its relaxed geometry.

Values from the calculation:
Energy of formation (eV/atom): 0.628
Uncorrected energy (eV/atom): -5.18
Relative energy among the computed polymorphs (eV per formula unit): 0.49

Cell: 10.1530 10.1530 4.3692 Å, 77.57 77.57 19.40°
Positions (direct):
1 Ba 0.0967 0.0967 0.9031
2 Ba 0.4033 0.4033 0.5969
3 Mo 0.7500 0.7500 0.7500
4 Zr 0.2500 0.2500 0.2500



Entry 2:
DFT (PBE-GGA) results for crystalline Tl4SnHg7 at its relaxed geometry.

Values from the calculation:
Energy of formation (eV/atom): 0.011
Uncorrected energy (eV/atom): -1.29
Relative energy among the computed polymorphs (eV per formula unit): 0.00

Cell: 3.6095 3.6095 30.3704 Å, 90.00 90.00 120.00°
Positions (direct):
1 Tl 0.6667 0.3333 0.0877
2 Tl 0.3333 0.6667 0.9123
3 Tl 0.6667 0.3333 0.3380
4 Tl 0.3333 0.6667 0.6620
5 Sn 0.0000 0.0000 0.5000
6 Hg 0.0000 0.0000 0.0000
7 Hg 0.6667 0.3333 0.5781
8 Hg 0.3333 0.6667 0.4219
9 Hg 0.6667 0.3333 0.8269
10 Hg 0.3333 0.6667 0.1731
11 Hg 0.0000 0.0000 0.2512
12 Hg 0.0000 0.0000 0.7488



Q: Look up the energy of formation of the first one.
A: 0.628 eV/atom



Q: Which of these has the highest uncorrected energy?
A: Tl4SnHg7